Entry from Alexandria via LeMat-Bulk: a relaxed Li2Cr2O7 crystal (PBE+U).

The calculation puts the electronic total energy at -6.34 eV per atom.

The structure belongs to space group P-1 (No. 2); the cell edges are 5.875, 8.031 and 8.038 Å and the angles 75.58°, 69.02° and 70.69°. The asymmetric unit holds Li at (0.196, 0.417, 0.239), Li at (0.219, 0.123, 0.781), Cr at (0.321, 0.779, 0.553), Cr at (0.348, 0.784, 0.127), O at (0.099, 0.676, 0.628), O at (0.115, 0.687, 0.202), O at (0.216, 0.972, 0.623), O at (0.252, 0.978, 0.014), O at (0.403, 0.337, 0.002), O at (0.437, 0.812, 0.309) and O at (0.438, 0.342, 0.377).